A plane-wave DFT calculation with GGA-PBE was carried out for crystalline Pa2InNi4Ge3 at its relaxed geometry.

- N(E_F) (states/eV per atom) = 0.635
- ΔH_f (0 K) (kJ per mole of atoms) = -48.3
- SG = P-4m2, No. 115

Unit cell a=4.073 b=4.073 c=10.124 alpha=90.00 beta=90.00 gamma=90.00
Sites, in units of the cell vectors:
Pa: 0.500 0.000 0.231
Pa: 0.000 0.500 0.769
In: 0.500 0.500 0.500
Ni: 0.500 0.500 0.000
Ni: 0.000 0.000 0.000
Ni: 0.500 0.000 0.651
Ni: 0.000 0.500 0.349
Ge: 0.000 0.000 0.500
Ge: 0.500 0.000 0.877
Ge: 0.000 0.500 0.123